(1)
A relaxed Re2OsCl crystal. Source: Alexandria, functional PBE.

The calculation puts the offset from the most stable computed form at 58.78 kJ per mole of atoms. The calculation puts the size of the total moment at 0.0 μB per formula unit. Its calculated volume is 59.86 Å³ per cell. The crystal system is tetragonal.

The space group is P4/mmm (No. 123) and the conventional cell measures 4.613, 4.613 and 2.813 Å, with angles of 90.00, 90.00 and 90.00 degrees. The inequivalent atoms are Re at (0.000, 0.500, 0.000), Os at (0.000, 0.000, 0.500) and Cl at (0.500, 0.500, 0.500).

---

(2)
A relaxed Re2OsCl crystal. Source: Alexandria, functional PBE.

The calculation puts the offset from the most stable computed form at 70.19 kJ per mole of atoms. The calculation puts the size of the total moment at 0.0 μB per formula unit. Its calculated volume is 60.55 Å³ per cell. The crystal system is orthorhombic.

The space group is Pmmm (No. 47) and the conventional cell measures 2.838, 4.584 and 4.654 Å, with angles of 90.00, 90.00 and 90.00 degrees. The inequivalent atoms are Re at (0.000, 0.000, 0.000), Re at (0.500, 0.500, 0.000), Os at (0.000, 0.500, 0.500) and Cl at (0.500, 0.000, 0.500).

---

(3)
A relaxed Re2OsCl crystal. Source: Alexandria, functional PBE.

The calculation puts the offset from the most stable computed form at 37.73 kJ per mole of atoms. The calculation puts the size of the total moment at 0.0 μB per formula unit. Its calculated volume is 59.07 Å³ per cell. The crystal system is monoclinic.

The space group is P2/m (No. 10) and the conventional cell measures 2.837, 4.034 and 5.350 Å, with angles of 90.00, 105.23 and 90.00 degrees. The inequivalent atoms are Re at (0.140, 0.000, 0.254), Os at (0.500, 0.500, 0.000) and Cl at (0.500, 0.500, 0.500).

---

(4)
A relaxed Re2OsCl crystal. Source: Alexandria, functional PBE.

The calculation puts the offset from the most stable computed form at 117.49 kJ per mole of atoms. The calculation puts the size of the total moment at 0.0 μB per formula unit. Its calculated volume is 63.00 Å³ per cell. The crystal system is tetragonal.

The space group is P4/mmm (No. 123) and the conventional cell measures 3.642, 3.642 and 4.750 Å, with angles of 90.00, 90.00 and 90.00 degrees. The inequivalent atoms are Re at (0.000, 0.500, 0.000), Os at (0.000, 0.000, 0.500) and Cl at (0.500, 0.500, 0.500).